No. 1
Here is a geometry-optimized TlPb4Se structure from Alexandria. Energies are from PBE.

Values from the calculation:
Formation energy without anion corrections, eV/atom: 0.16
Uncorrected energy, eV/atom: -3.2913

a = 6.4930 Å, b = 6.4930 Å, c = 6.4930 Å
α = 60.00°, β = 60.00°, γ = 60.00°
Last column: nearest neighbours and their distance in Å.
Positions (direct):
Tl 0.0000 0.0000 0.0000  12 Pb 3.81, 4 Se 3.98
Pb 0.3747 0.8759 0.3747  6 Pb 3.24-3.25
Pb 0.8759 0.3747 0.3747  6 Pb 3.24-3.25
Pb 0.3747 0.3747 0.8759  6 Pb 3.24-3.25
Pb 0.3747 0.3747 0.3747  6 Pb 3.24-3.25
Se 0.7500 0.7500 0.7500  12 Pb 3.81, 4 Tl 3.98

No. 2
Here is a geometry-optimized Tl2Pb2Se structure from Alexandria. Energies are from PBE.

Values from the calculation:
Formation energy without anion corrections, eV/atom: -0.04
Uncorrected energy, eV/atom: -3.1681

a = 7.9929 Å, b = 7.9929 Å, c = 5.0237 Å
α = 90.00°, β = 90.00°, γ = 90.00°
Last column: nearest neighbours and their distance in Å.
Positions (direct):
Pb 0.3502 0.8502 0.0000  2 Se 3.04, 2 Tl 3.29, 1 Pb 3.39
Pb 0.8502 0.6498 0.0000  2 Se 3.04, 2 Tl 3.29, 1 Pb 3.39
Pb 0.6498 0.1498 0.0000  2 Se 3.04, 2 Tl 3.29, 1 Pb 3.39
Pb 0.1498 0.3502 0.0000  2 Se 3.04, 2 Tl 3.29, 1 Pb 3.39
Tl 0.1618 0.6618 0.5000  6 Pb 3.29-3.54, 1 Tl 3.66
Tl 0.6618 0.8382 0.5000  6 Pb 3.29-3.54, 1 Tl 3.66
Tl 0.8382 0.3382 0.5000  6 Pb 3.29-3.54, 1 Tl 3.66
Tl 0.3382 0.1618 0.5000  6 Pb 3.29-3.54, 1 Tl 3.66
Se 0.0000 0.0000 0.0000  4 Pb 3.04
Se 0.5000 0.5000 0.0000  4 Pb 3.04

No. 3
Here is a geometry-optimized TlPbSe structure from Alexandria. Energies are from PBE.

Values from the calculation:
Formation energy without anion corrections, eV/atom: -0.10
Uncorrected energy, eV/atom: -3.2820

a = 5.2569 Å, b = 5.2569 Å, c = 5.2569 Å
α = 60.00°, β = 60.00°, γ = 60.00°
Last column: nearest neighbours and their distance in Å.
Positions (direct):
Pb 0.5000 0.5000 0.5000  4 Se 3.22
Se 0.7500 0.7500 0.7500  4 Pb 3.22, 4 Tl 3.22
Tl 0.0000 0.0000 0.0000  4 Se 3.22

No. 4
Here is a geometry-optimized Tl5PbSe4 structure from Alexandria. Energies are from PBE.

Values from the calculation:
Formation energy without anion corrections, eV/atom: -0.35
Uncorrected energy, eV/atom: -3.3007

a = 4.4269 Å, b = 8.2806 Å, c = 9.9979 Å
α = 112.81°, β = 102.79°, γ = 90.00°
Last column: nearest neighbours and their distance in Å.
Positions (direct):
Tl 0.1933 0.3255 0.3867  3 Se 2.97-3.06
Tl 0.1572 0.7961 0.3144  3 Se 3.02-3.20
Tl 0.8428 0.2039 0.6856  3 Se 3.02-3.20
Tl 0.5000 0.5000 0.0000  4 Se 3.13
Tl 0.8067 0.6745 0.6133  3 Se 2.97-3.06
Pb 0.5000 0.0000 0.0000  6 Se 3.05-3.06
Se 0.6641 0.0508 0.3282  5 Tl 3.02-3.20, 1 Pb 3.06
Se 0.0339 0.2743 0.0677  3 Tl 2.97-3.13, 2 Pb 3.05
Se 0.3359 0.9492 0.6718  5 Tl 3.02-3.20, 1 Pb 3.06
Se 0.9661 0.7257 0.9323  3 Tl 2.97-3.13, 2 Pb 3.05

No. 5
Here is a geometry-optimized Tl2PbSe structure from Alexandria. Energies are from PBE.

Values from the calculation:
Formation energy without anion corrections, eV/atom: -0.15
Uncorrected energy, eV/atom: -3.1291

a = 8.4984 Å, b = 4.6910 Å, c = 5.3157 Å
α = 90.03°, β = 51.23°, γ = 123.44°
Last column: nearest neighbours and their distance in Å.
Positions (direct):
Pb 0.0000 0.5000 0.5000  4 Se 3.31-3.32, 8 Tl 3.54-3.55
Se 0.5000 0.5000 0.0000  4 Pb 3.31-3.32, 8 Tl 3.54-3.55
Tl 0.0000 0.0000 0.0000  4 Tl 3.31-3.32, 4 Pb 3.54-3.55, 4 Se 3.54-3.55
Tl 0.5000 0.0000 0.5000  4 Tl 3.31-3.32, 4 Se 3.54-3.55, 4 Pb 3.54-3.55

No. 6
Here is a geometry-optimized Tl3PbSe structure from Alexandria. Energies are from PBE.

Values from the calculation:
Formation energy without anion corrections, eV/atom: 0.27
Uncorrected energy, eV/atom: -2.5867

a = 5.7776 Å, b = 5.7776 Å, c = 5.7776 Å
α = 90.00°, β = 90.00°, γ = 90.00°
Last column: nearest neighbours and their distance in Å.
Positions (direct):
Pb 0.5000 0.5000 0.5000  12 Tl 4.09
Tl 0.0000 0.5000 0.0000  2 Se 2.89
Tl 0.0000 0.0000 0.5000  2 Se 2.89
Tl 0.5000 0.0000 0.0000  2 Se 2.89
Se 0.0000 0.0000 0.0000  6 Tl 2.89

No. 7
Here is a geometry-optimized Tl2Pb3Se4 structure from Alexandria. Energies are from PBE.

Values from the calculation:
Formation energy without anion corrections, eV/atom: -0.48
Uncorrected energy, eV/atom: -3.7917

a = 4.4030 Å, b = 7.5521 Å, c = 9.9452 Å
α = 72.16°, β = 77.21°, γ = 73.05°
Last column: nearest neighbours and their distance in Å.
Positions (direct):
Tl 0.5966 0.2200 0.5867  4 Se 3.06-3.40
Tl 0.4034 0.7800 0.4133  4 Se 3.06-3.40
Pb 0.0000 0.0000 0.0000  6 Se 3.07-3.11
Pb 0.2183 0.3718 0.1915  5 Se 2.84-3.15
Pb 0.7817 0.6282 0.8085  5 Se 2.84-3.15
Se 0.8145 0.0727 0.2983  3 Tl 3.06-3.24, 3 Pb 3.07
Se 0.1855 0.9273 0.7017  3 Tl 3.06-3.24, 3 Pb 3.07
Se 0.3873 0.3119 0.9135  5 Pb 2.84-3.15
Se 0.6127 0.6881 0.0865  5 Pb 2.84-3.15

No. 8
Here is a geometry-optimized Tl2PbSe structure from Alexandria. Energies are from PBE.

Values from the calculation:
Formation energy without anion corrections, eV/atom: -0.16
Uncorrected energy, eV/atom: -3.1462

a = 6.5115 Å, b = 6.5115 Å, c = 4.7364 Å
α = 68.87°, β = 68.87°, γ = 39.86°
Last column: nearest neighbours and their distance in Å.
Positions (direct):
Pb 0.7500 0.7500 0.7500  4 Se 3.25, 4 Tl 3.51-3.53
Se 0.2500 0.2500 0.2500  4 Pb 3.25, 4 Tl 3.42
Tl 0.9802 0.9802 0.0200  4 Tl 3.27-3.28, 2 Se 3.42, 2 Pb 3.51-3.53
Tl 0.5198 0.5198 0.4800  4 Tl 3.27-3.28, 2 Se 3.42, 2 Pb 3.51-3.53

No. 9
Here is a geometry-optimized Tl2PbSe structure from Alexandria. Energies are from PBE.

Values from the calculation:
Formation energy without anion corrections, eV/atom: -0.03
Uncorrected energy, eV/atom: -3.0161

a = 5.4676 Å, b = 5.4676 Å, c = 5.4676 Å
α = 60.00°, β = 60.00°, γ = 60.00°
Last column: nearest neighbours and their distance in Å.
Positions (direct):
Pb 0.5000 0.5000 0.5000  4 Se 3.35, 4 Tl 3.35
Se 0.7500 0.7500 0.7500  4 Tl 3.35, 4 Pb 3.35
Tl 0.0000 0.0000 0.0000  4 Tl 3.35, 4 Se 3.35
Tl 0.2500 0.2500 0.2500  4 Pb 3.35, 4 Tl 3.35

No. 10
Here is a geometry-optimized Tl3PbSe4 structure from Alexandria. Energies are from PBE.

Values from the calculation:
Formation energy without anion corrections, eV/atom: -0.32
Uncorrected energy, eV/atom: -3.4121

a = 4.3185 Å, b = 7.5519 Å, c = 7.4665 Å
α = 71.23°, β = 90.57°, γ = 89.16°
Last column: nearest neighbours and their distance in Å.
Positions (direct):
Pb 0.5000 0.5002 0.9999  6 Se 3.02-3.07
Tl 0.5000 0.0002 0.4999  6 Se 3.06-3.15
Tl 0.9999 0.0001 0.0000  6 Se 3.13-3.19
Tl 0.9999 0.5001 0.5000  6 Se 2.96-3.02
Se 0.9962 0.7392 0.7479  4 Tl 2.97-3.15, 2 Pb 3.02-3.07
Se 0.5007 0.7347 0.2618  5 Tl 2.96-3.19, 1 Pb 3.03
Se 0.0037 0.2611 0.2520  4 Tl 2.97-3.15, 2 Pb 3.02-3.07
Se 0.4992 0.2655 0.7382  5 Tl 2.96-3.19, 1 Pb 3.03

No. 11
Here is a geometry-optimized Tl3Pb2Se4 structure from Alexandria. Energies are from PBE.

Values from the calculation:
Formation energy without anion corrections, eV/atom: -0.36
Uncorrected energy, eV/atom: -3.5167

a = 6.2772 Å, b = 9.8557 Å, c = 9.8557 Å
α = 81.41°, β = 89.49°, γ = 89.49°
Last column: nearest neighbours and their distance in Å.
Positions (direct):
Tl 0.9627 0.0062 0.2221  4 Se 3.06-3.23
Tl 0.5373 0.7779 0.9938  4 Se 3.06-3.23
Tl 0.0373 0.9938 0.7779  4 Se 3.06-3.23
Tl 0.4627 0.2221 0.0062  4 Se 3.06-3.23
Tl 0.2500 0.6842 0.3158  4 Se 3.20-3.21
Tl 0.7500 0.3158 0.6842  4 Se 3.20-3.21
Pb 0.4414 0.1931 0.4198  3 Se 2.88-2.91
Pb 0.0586 0.5802 0.8069  3 Se 2.88-2.91
Pb 0.5586 0.8069 0.5802  3 Se 2.88-2.91
Pb 0.9414 0.4198 0.1931  3 Se 2.88-2.91
Se 0.4732 0.9785 0.2516  1 Pb 2.88, 3 Tl 3.09-3.21
Se 0.0268 0.7484 0.0215  1 Pb 2.88, 3 Tl 3.09-3.21
Se 0.5268 0.0215 0.7484  1 Pb 2.88, 3 Tl 3.09-3.21
Se 0.9732 0.2516 0.9785  1 Pb 2.88, 3 Tl 3.09-3.21
Se 0.9790 0.2092 0.4287  2 Pb 2.88-2.91, 2 Tl 3.06-3.20
Se 0.5210 0.5713 0.7908  2 Pb 2.88-2.91, 2 Tl 3.06-3.20
Se 0.0210 0.7908 0.5713  2 Pb 2.88-2.91, 2 Tl 3.06-3.20
Se 0.4790 0.4287 0.2092  2 Pb 2.88-2.91, 2 Tl 3.06-3.20

No. 12
Here is a geometry-optimized Tl2Pb2Se structure from Alexandria. Energies are from PBE.

Values from the calculation:
Formation energy without anion corrections, eV/atom: 0.09
Uncorrected energy, eV/atom: -3.0337

a = 8.0854 Å, b = 8.0854 Å, c = 4.7646 Å
α = 90.00°, β = 90.00°, γ = 90.00°
Last column: nearest neighbours and their distance in Å.
Positions (direct):
Pb 0.1539 0.6539 0.5000  6 Tl 3.28-3.42, 1 Pb 3.52
Pb 0.6539 0.8461 0.5000  6 Tl 3.28-3.42, 1 Pb 3.52
Pb 0.8461 0.3461 0.5000  6 Tl 3.28-3.42, 1 Pb 3.52
Pb 0.3461 0.1539 0.5000  6 Tl 3.28-3.42, 1 Pb 3.52
Tl 0.3506 0.8506 0.0000  2 Se 3.08, 6 Pb 3.28-3.42, 1 Tl 3.42
Tl 0.8506 0.6494 0.0000  2 Se 3.08, 6 Pb 3.28-3.42, 1 Tl 3.42
Tl 0.6494 0.1494 0.0000  2 Se 3.08, 6 Pb 3.28-3.42, 1 Tl 3.42
Tl 0.1494 0.3506 0.0000  2 Se 3.08, 6 Pb 3.28-3.42, 1 Tl 3.42
Se 0.0000 0.0000 0.0000  4 Tl 3.08
Se 0.5000 0.5000 0.0000  4 Tl 3.08

Question: Among the records above, which one has the highest uncorrected energy?
Answer: Tl3PbSe

Question: Look up the formation energy without anion corrections of the twelfth one.
Answer: 0.09 eV/atom

Question: Which of these has the highest formation energy without anion corrections?
Answer: Tl3PbSe

Question: What is the formation energy without anion corrections in the third record?
Answer: -0.10 eV/atom